DFT (PBE-GGA) results for a relaxed ZrFeAsOs crystal.

Structure (POSCAR):
```
ZrFeAsOs
1.0
0.0000 3.1273 3.1273
3.1273 0.0000 3.1273
3.1273 3.1273 0.0000
Zr Fe As Os
1 1 1 1
direct
0.0000 0.0000 0.0000
0.7500 0.7500 0.7500
0.5000 0.5000 0.5000
0.2500 0.2500 0.2500
```

Calculated values
E above lowest polymorph	0.000	eV/atom
V	61.17	Å³/cell
crystal system	cubic
total magnetization	0.9	μB per formula unit
symmetry	F-43m